*1*
# ZrSiS2Cl

An optimized crystal structure of ZrSiS2Cl (PBE, the Alexandria database).

```
ZrSiS2Cl
1.0
5.011 0.000 0.000
0.000 5.011 0.000
0.000 0.000 4.958
Zr Si S Cl
1 1 2 1
Direct
0.000 0.000 0.000
0.500 0.500 0.500
0.000 0.500 0.000
0.500 0.000 0.000
0.000 0.000 0.500
```

*2*
# ZrSiS2Cl

An optimized crystal structure of ZrSiS2Cl (PBE, the Alexandria database).

```
ZrSiS2Cl
1.0
4.625 0.000 0.000
0.000 4.625 0.000
0.000 0.000 4.502
Zr Si S Cl
1 1 2 1
Direct
0.000 0.000 0.000
0.500 0.500 0.500
0.000 0.500 0.500
0.500 0.000 0.500
0.500 0.500 0.000
```

In order of decreasing stability: *1*, *2*.

*1*
# ZrSiSCl2

An optimized crystal structure of ZrSiSCl2 (PBE, the Alexandria database).

```
ZrSiSCl2
1.0
5.032 0.000 0.000
0.000 5.032 0.000
0.000 0.000 5.043
Zr Si S Cl
1 1 1 2
Direct
0.000 0.000 0.000
0.500 0.500 0.500
0.000 0.000 0.500
0.000 0.500 0.000
0.500 0.000 0.000
```

*2*
# ZrSiSCl2

An optimized crystal structure of ZrSiSCl2 (PBE, the Alexandria database).

```
ZrSiSCl2
1.0
4.688 0.000 0.000
0.000 4.688 0.000
0.000 0.000 4.886
Zr Si S Cl
1 1 1 2
Direct
0.000 0.000 0.000
0.500 0.500 0.500
0.500 0.500 0.000
0.000 0.500 0.500
0.500 0.000 0.500
```

In order of decreasing stability: *1*, *2*.

*1*
# SnS3Cl

An optimized crystal structure of SnS3Cl (PBE, the Alexandria database).

```
SnS3Cl
1.0
5.066 0.000 0.000
0.000 5.066 0.000
0.000 0.000 5.066
Sn S Cl
1 3 1
Direct
0.000 0.000 0.000
0.000 0.000 0.500
0.000 0.500 0.000
0.500 0.000 0.000
0.500 0.500 0.500
```

*2*
# SnS3Cl

An optimized crystal structure of SnS3Cl (PBE, the Alexandria database).

```
SnS3Cl
1.0
4.760 0.000 0.000
0.000 4.760 0.000
0.000 0.000 4.760
Sn S Cl
1 3 1
Direct
0.000 0.000 0.000
0.000 0.500 0.500
0.500 0.000 0.500
0.500 0.500 0.000
0.500 0.500 0.500
```

In order of decreasing stability: *1*, *2*.

*1*
# Sn2SCl2

An optimized crystal structure of Sn2SCl2 (PBE, the Alexandria database).

```
Sn2SCl2
1.0
7.550 0.000 0.000
0.000 7.550 0.000
0.000 0.000 4.484
Sn S Cl
4 2 4
Direct
0.179 0.321 0.000
0.321 0.821 0.000
0.679 0.179 0.000
0.821 0.679 0.000
0.000 0.000 0.000
0.500 0.500 0.000
0.163 0.663 0.500
0.337 0.163 0.500
0.663 0.837 0.500
0.837 0.337 0.500
```

*2*
# Sn2SCl2

An optimized crystal structure of Sn2SCl2 (PBE, the Alexandria database).

```
Sn2SCl2
1.0
5.522 0.000 0.000
0.000 4.011 0.000
-2.562 0.000 15.890
Sn S Cl
4 2 4
Direct
0.163 0.250 0.091
0.211 0.250 0.613
0.789 0.750 0.387
0.837 0.750 0.909
0.158 0.250 0.928
0.842 0.750 0.072
0.062 0.750 0.704
0.232 0.750 0.470
0.768 0.250 0.530
0.938 0.250 0.296
```

In order of decreasing stability: *2*, *1*.

*1*
# Sn2SCl

An optimized crystal structure of Sn2SCl (PBE, the Alexandria database).

```
Sn2SCl
1.0
-2.651 2.651 8.540
2.651 -2.651 8.540
2.651 2.651 -8.540
Sn S Cl
4 2 2
Direct
0.102 0.625 0.977
0.375 0.352 0.477
0.648 0.125 0.023
0.875 0.898 0.523
0.000 0.000 0.000
0.750 0.250 0.500
0.250 0.750 0.500
0.500 0.500 0.000
```

*2*
# Sn2SCl

An optimized crystal structure of Sn2SCl (PBE, the Alexandria database).

```
Sn2SCl
1.0
0.000 3.601 3.601
3.601 0.000 3.601
3.601 3.601 0.000
Sn S Cl
2 1 1
Direct
0.250 0.250 0.250
0.750 0.750 0.750
0.000 0.000 0.000
0.500 0.500 0.500
```

In order of decreasing stability: *2*, *1*.

*1*
# Sn2SCl

An optimized crystal structure of Sn2SCl (PBE, the Alexandria database).

```
Sn2SCl
1.0
1.865 1.077 8.531
-1.865 1.077 8.531
0.000 -2.154 8.531
Sn S Cl
2 1 1
Direct
0.000 0.000 0.000
0.183 0.183 0.183
0.584 0.584 0.584
0.751 0.751 0.751
```

*2*
# Sn2SCl

An optimized crystal structure of Sn2SCl (PBE, the Alexandria database).

```
Sn2SCl
1.0
4.813 -7.470 0.000
4.813 7.470 0.000
-3.566 0.000 5.861
Sn S Cl
8 4 4
Direct
0.038 0.414 0.269
0.178 0.303 0.724
0.303 0.178 0.224
0.414 0.038 0.769
0.586 0.962 0.231
0.697 0.822 0.776
0.822 0.697 0.276
0.962 0.586 0.731
0.062 0.938 0.750
0.306 0.694 0.750
0.694 0.306 0.250
0.938 0.062 0.250
0.181 0.819 0.250
0.448 0.552 0.250
0.552 0.448 0.750
0.819 0.181 0.750
```

In order of decreasing stability: *1*, *2*.